Model i:
Below is crystalline Pm6Tm2Sc at its relaxed geometry, with properties calculated at the PBE level.

Calculated values
Crystal system: triclinic

a b c (Å): 3.590 8.958 9.474
angles (deg): 94.18 100.92 101.52
Space group P-1 (No. 2)
One atom of each set of equivalent atoms:
Pm  0.042  0.173  0.408 [2 per cell]
Pm  0.290  0.825  0.256 [2 per cell]
Pm  0.377  0.179  0.073 [2 per cell]
Tm  0.335  0.500  0.670 [2 per cell]
Sc  0.000  0.500  0.000 [1 per cell]

---

Model ii:
Below is crystalline Pm6Tm2Sc at its relaxed geometry, with properties calculated at the PBE level.

Calculated values
Crystal system: monoclinic

a b c (Å): 16.132 11.702 6.173
angles (deg): 90.00 96.13 90.00
Space group C2/c (No. 15)
One atom of each set of equivalent atoms:
Pm  0.049  0.142  0.012 [8 per cell]
Pm  0.113  0.364  0.324 [8 per cell]
Pm  0.211  0.358  0.851 [8 per cell]
Tm  0.169  0.101  0.576 [8 per cell]
Sc  0.000  0.395  0.750 [4 per cell]

---

Stability check: which of them is most stable? model i.

---

Model i:
Below is crystalline PmTm6Sc2 at its relaxed geometry, with properties calculated at the PBE level.

Calculated values
Crystal system: monoclinic

a b c (Å): 13.227 12.787 6.459
angles (deg): 90.00 103.13 90.00
Space group C2/c (No. 15)
One atom of each set of equivalent atoms:
Pm  0.000  0.142  0.250 [4 per cell]
Tm  0.025  0.355  0.997 [8 per cell]
Tm  0.123  0.082  0.823 [8 per cell]
Tm  0.244  0.294  0.740 [8 per cell]
Sc  0.178  0.470  0.372 [8 per cell]

---

Model ii:
Below is crystalline PmTm6Sc2 at its relaxed geometry, with properties calculated at the PBE level.

Calculated values
Crystal system: hexagonal

a b c (Å): 3.4978 3.4978 25.2750
angles (deg): 90.00 90.00 120.00
Space group P-6m2 (No. 187)
One atom of each set of equivalent atoms:
Pm  0.0000  0.0000  0.0000 [1 per cell]
Tm  0.0000  0.0000  0.2265 [2 per cell]
Tm  0.0000  0.0000  0.4335 [2 per cell]
Tm  0.3333  0.6667  0.1156 [2 per cell]
Sc  0.3333  0.6667  0.3306 [2 per cell]

---

Stability check: which of them is most stable? model ii.

---

Model i:
Below is crystalline Pm5Tm2Sc at its relaxed geometry, with properties calculated at the PBE level.

Calculated values
Crystal system: monoclinic

a b c (Å): 16.172 9.876 6.705
angles (deg): 90.00 103.26 90.00
Space group C2/c (No. 15)
One atom of each set of equivalent atoms:
Pm  0.000  0.064  0.250 [4 per cell]
Pm  0.096  0.398  0.158 [8 per cell]
Pm  0.210  0.078  0.057 [8 per cell]
Tm  0.089  0.256  0.662 [8 per cell]
Sc  0.250  0.250  0.500 [4 per cell]

---

Model ii:
Below is crystalline Pm5Tm2Sc at its relaxed geometry, with properties calculated at the PBE level.

Calculated values
Crystal system: tetragonal

a b c (Å): 9.128 9.128 12.380
angles (deg): 90.00 90.00 90.00
Space group I4/mcm (No. 140)
One atom of each set of equivalent atoms:
Pm  0.000  0.000  0.000 [4 per cell]
Pm  0.152  0.348  0.165 [16 per cell]
Tm  0.144  0.356  0.500 [8 per cell]
Sc  0.000  0.000  0.250 [4 per cell]

---

Stability check: which of them is most stable? model ii.

---

Model i:
Below is crystalline PmTm5Sc2 at its relaxed geometry, with properties calculated at the PBE level.

Calculated values
Crystal system: tetragonal

a b c (Å): 6.876 6.876 9.814
angles (deg): 90.00 90.00 90.00
Space group I4/mmm (No. 139)
One atom of each set of equivalent atoms:
Pm  0.000  0.000  0.000 [2 per cell]
Tm  0.000  0.000  0.500 [2 per cell]
Tm  0.250  0.250  0.250 [8 per cell]
Sc  0.000  0.500  0.000 [4 per cell]

---

Model ii:
Below is crystalline PmTm5Sc2 at its relaxed geometry, with properties calculated at the PBE level.

Calculated values
Crystal system: orthorhombic

a b c (Å): 7.053 10.948 12.179
angles (deg): 90.00 90.00 90.00
Space group Fmm2 (No. 42)
One atom of each set of equivalent atoms:
Pm  0.000  0.000  0.000 [4 per cell]
Tm  0.000  0.000  0.498 [4 per cell]
Tm  0.250  0.000  0.246 [8 per cell]
Tm  0.250  0.250  0.414 [8 per cell]
Sc  0.000  0.249  0.663 [8 per cell]

---

Stability check: which of them is most stable? model ii.

---

Model i:
Below is crystalline PmTm6Sc4 at its relaxed geometry, with properties calculated at the PBE level.

Calculated values
Crystal system: tetragonal

a b c (Å): 6.304 6.304 16.520
angles (deg): 90.00 90.00 90.00
Space group I-42m (No. 121)
One atom of each set of equivalent atoms:
Pm  0.000  0.000  0.000 [2 per cell]
Tm  0.000  0.500  0.000 [4 per cell]
Tm  0.188  0.188  0.177 [8 per cell]
Sc  0.176  0.176  0.371 [8 per cell]

---

Model ii:
Below is crystalline PmTm6Sc4 at its relaxed geometry, with properties calculated at the PBE level.

Calculated values
Crystal system: tetragonal

a b c (Å): 7.695 7.695 11.905
angles (deg): 90.00 90.00 90.00
Space group I-42m (No. 121)
One atom of each set of equivalent atoms:
Pm  0.000  0.000  0.000 [2 per cell]
Tm  0.000  0.500  0.000 [4 per cell]
Tm  0.163  0.163  0.579 [8 per cell]
Sc  0.235  0.235  0.318 [8 per cell]

---

Stability check: which of them is most stable? model i.

---

Model i:
Below is crystalline Pm2Tm3Sc at its relaxed geometry, with properties calculated at the PBE level.

Calculated values
Crystal system: monoclinic

a b c (Å): 17.455 3.428 14.000
angles (deg): 90.00 117.38 90.00
Space group C2/m (No. 12)
One atom of each set of equivalent atoms:
Pm  0.153  0.000  0.468 [4 per cell]
Pm  0.179  0.500  0.876 [4 per cell]
Tm  0.038  0.500  0.211 [4 per cell]
Tm  0.099  0.000  0.027 [4 per cell]
Tm  0.239  0.000  0.294 [4 per cell]
Sc  0.063  0.000  0.641 [4 per cell]

---

Model ii:
Below is crystalline Pm2Tm3Sc at its relaxed geometry, with properties calculated at the PBE level.

Calculated values
Crystal system: monoclinic

a b c (Å): 14.865 4.946 11.097
angles (deg): 90.00 116.49 90.00
Space group C2/m (No. 12)
One atom of each set of equivalent atoms:
Pm  0.038  0.000  0.375 [4 per cell]
Pm  0.210  0.500  0.374 [4 per cell]
Tm  0.044  0.500  0.878 [4 per cell]
Tm  0.126  0.000  0.124 [4 per cell]
Tm  0.208  0.000  0.874 [4 per cell]
Sc  0.124  0.500  0.626 [4 per cell]

---

Stability check: which of them is most stable? model ii.

---

Model i:
Below is crystalline Pm2Tm3Sc2 at its relaxed geometry, with properties calculated at the PBE level.

Calculated values
Crystal system: orthorhombic

a b c (Å): 5.168 23.264 3.458
angles (deg): 90.00 90.00 90.00
Space group Cmmm (No. 65)
One atom of each set of equivalent atoms:
Pm  0.000  0.076  0.000 [4 per cell]
Tm  0.000  0.343  0.500 [4 per cell]
Tm  0.000  0.500  0.500 [2 per cell]
Sc  0.000  0.217  0.000 [4 per cell]

---

Model ii:
Below is crystalline Pm2Tm3Sc2 at its relaxed geometry, with properties calculated at the PBE level.

Calculated values
Crystal system: monoclinic

a b c (Å): 6.298 10.336 6.445
angles (deg): 90.00 91.35 90.00
Space group P2_1/c (No. 14)
One atom of each set of equivalent atoms:
Pm  0.144  0.243  0.249 [4 per cell]
Tm  0.000  0.000  0.000 [2 per cell]
Tm  0.255  0.559  0.017 [4 per cell]
Sc  0.445  0.645  0.518 [4 per cell]

---

Stability check: which of them is most stable? model i.

---

Model i:
Below is crystalline Pm2Tm4Sc5 at its relaxed geometry, with properties calculated at the PBE level.

Calculated values
Crystal system: monoclinic

a b c (Å): 8.434 3.425 11.727
angles (deg): 90.00 110.25 90.00
Space group P2/m (No. 10)
One atom of each set of equivalent atoms:
Pm  0.125  0.000  0.402 [2 per cell]
Tm  0.261  0.500  0.736 [2 per cell]
Tm  0.269  0.500  0.150 [2 per cell]
Sc  0.086  0.000  0.900 [2 per cell]
Sc  0.494  0.000  0.623 [2 per cell]
Sc  0.500  0.000  0.000 [1 per cell]

---

Model ii:
Below is crystalline Pm2Tm4Sc5 at its relaxed geometry, with properties calculated at the PBE level.

Calculated values
Crystal system: monoclinic

a b c (Å): 11.983 6.367 9.998
angles (deg): 90.00 124.07 90.00
Space group C2/m (No. 12)
One atom of each set of equivalent atoms:
Pm  0.156  0.000  0.221 [4 per cell]
Tm  0.233  0.000  0.968 [4 per cell]
Tm  0.238  0.000  0.613 [4 per cell]
Sc  0.000  0.500  0.000 [2 per cell]
Sc  0.018  0.266  0.672 [8 per cell]

---

Stability check: which of them is most stable? model i.

---

Model i:
Below is crystalline Pm3Tm8Sc2 at its relaxed geometry, with properties calculated at the PBE level.

Calculated values
Crystal system: monoclinic

a b c (Å): 19.380 7.663 5.521
angles (deg): 90.00 90.03 90.00
Space group C2/m (No. 12)
One atom of each set of equivalent atoms:
Pm  0.000  0.000  0.000 [2 per cell]
Pm  0.000  0.293  0.500 [4 per cell]
Tm  0.114  0.291  0.000 [8 per cell]
Tm  0.136  0.000  0.500 [4 per cell]
Tm  0.178  0.500  0.501 [4 per cell]
Sc  0.240  0.000  0.999 [4 per cell]

---

Model ii:
Below is crystalline Pm3Tm8Sc2 at its relaxed geometry, with properties calculated at the PBE level.

Calculated values
Crystal system: monoclinic

a b c (Å): 14.227 9.088 6.598
angles (deg): 90.00 99.36 90.00
Space group C2/m (No. 12)
One atom of each set of equivalent atoms:
Pm  0.000  0.000  0.000 [2 per cell]
Pm  0.000  0.171  0.500 [4 per cell]
Tm  0.083  0.500  0.362 [4 per cell]
Tm  0.116  0.321  0.936 [8 per cell]
Tm  0.212  0.000  0.296 [4 per cell]
Sc  0.200  0.000  0.796 [4 per cell]

---

Stability check: which of them is most stable? model i.

---

Model i:
Below is crystalline PmTm4Sc3 at its relaxed geometry, with properties calculated at the PBE level.

Calculated values
Crystal system: orthorhombic

a b c (Å): 10.853 6.993 6.022
angles (deg): 90.00 90.00 90.00
Space group Pmn2_1 (No. 31)
One atom of each set of equivalent atoms:
Pm  0.000  0.119  0.000 [2 per cell]
Tm  0.000  0.371  0.497 [2 per cell]
Tm  0.000  0.629  0.993 [2 per cell]
Tm  0.246  0.630  0.336 [4 per cell]
Sc  0.000  0.877  0.502 [2 per cell]
Sc  0.249  0.121  0.331 [4 per cell]

---

Model ii:
Below is crystalline PmTm4Sc3 at its relaxed geometry, with properties calculated at the PBE level.

Calculated values
Crystal system: orthorhombic

a b c (Å): 3.308 11.158 12.441
angles (deg): 90.00 90.00 90.00
Space group Immm (No. 71)
One atom of each set of equivalent atoms:
Pm  0.000  0.000  0.000 [2 per cell]
Tm  0.000  0.254  0.133 [8 per cell]
Sc  0.000  0.000  0.500 [2 per cell]
Sc  0.000  0.500  0.257 [4 per cell]

---

Stability check: which of them is most stable? model i.